Record 1
Below is an optimized crystal structure of HgBTe2I, with properties calculated at the PBE level.

The calculation puts the total moment at 0.00 μB per formula unit. The calculation puts the density at 5.2 g cm⁻³. As for the formation energy from raw total energies: 1.39 eV per atom. The energy above the most stable polymorph in this dataset comes out at 716 meV/atom.

Lattice parameters (Å, degrees): 5.632 5.632 5.980 90.00 90.00 90.00
Atoms (fractional coordinates):
I  0.000  0.000  0.500
B  0.500  0.500  0.500
Te  0.000  0.500  0.000
Te  0.500  0.000  0.000
Hg  0.000  0.000  0.000


Record 2
Below is an optimized crystal structure of HgBTe2I, with properties calculated at the PBE level.

The calculation puts the total moment at 0.00 μB per formula unit. The calculation puts the density at 7.7 g cm⁻³. As for the formation energy from raw total energies: 0.68 eV per atom. The energy above the most stable polymorph in this dataset comes out at 0 meV/atom.

Lattice parameters (Å, degrees): 5.017 5.017 5.114 90.00 90.00 90.00
Atoms (fractional coordinates):
I  0.000  0.000  0.500
B  0.000  0.000  0.000
Te  0.000  0.500  0.000
Te  0.500  0.000  0.000
Hg  0.500  0.500  0.500


Record 3
Below is an optimized crystal structure of TlHg2BI, with properties calculated at the PBE level.

The calculation puts the total moment at 1.00 μB per formula unit. The calculation puts the density at 2.9 g cm⁻³. As for the formation energy from raw total energies: 1.20 eV per atom.

Lattice parameters (Å, degrees): 8.077 6.497 8.077 90.00 90.00 90.00
Each line ends with the local moment (μB).
Atoms (fractional coordinates):
I  0.000  0.000  0.000  0.00
Tl  0.000  0.500  0.000  0.00
B  0.500  0.500  0.500  0.41
Hg  0.000  0.000  0.500  0.00
Hg  0.500  0.000  0.000  0.00


Record 4
Below is an optimized crystal structure of InHgB2, with properties calculated at the PBE level.

The calculation puts the total moment at 0.00 μB per formula unit. The calculation puts the density at 8.7 g cm⁻³. As for the formation energy: 1.595 eV/atom. The energy above the most stable polymorph in this dataset comes out at 322 meV/atom.

Lattice parameters (Å, degrees): 4.500 4.500 4.500 60.00 60.00 60.00
Atoms (fractional coordinates):
B  0.250  0.250  0.250
B  0.750  0.750  0.750
Hg  0.500  0.500  0.500
In  0.000  0.000  0.000